Record 1
The following is a PBE with a Hubbard U calculation of a geometry-optimized Li4Mn3Nb2V3O16 structure, from Alexandria.

Output
E_tot, eV/atom: -7.5344
Calculated volume, Å³/cell: 310.1

Cell lengths 5.9268, 6.0959, 9.8214 Å; angles 92.20, 90.00, 119.00 degrees
Space group P1 (No. 1)
Symmetry-distinct sites (fractional):
Li  0.0000  0.0000  0.0000
Li  0.0080  0.0110  0.4988
Li  0.3424  0.6657  0.4115
Li  0.6665  0.3186  0.9100
Mn  0.1752  0.8321  0.7243
Mn  0.6670  0.8329  0.7242
Mn  0.8394  0.6670  0.2192
Nb  0.3289  0.6484  0.0042
Nb  0.6742  0.3422  0.5034
V  0.1770  0.3451  0.7276
V  0.3524  0.1758  0.2237
V  0.8335  0.1785  0.2307
O  0.0085  0.0075  0.8119
O  0.0101  0.0258  0.3109
O  0.0378  0.5080  0.8590
O  0.1714  0.3397  0.1083
O  0.1847  0.8480  0.0957
O  0.3386  0.6662  0.6235
O  0.3488  0.1896  0.5971
O  0.4789  0.5065  0.8606
O  0.4825  0.9555  0.8458
O  0.5180  0.4701  0.3542
O  0.5367  0.0416  0.3533
O  0.6672  0.8450  0.0969
O  0.6760  0.3052  0.1157
O  0.8475  0.6848  0.6004
O  0.8499  0.1917  0.5988
O  0.9699  0.4690  0.3559

***

Record 2
The following is a PBE with a Hubbard U calculation of a geometry-optimized Li4MnNbW2O12 structure, from Alexandria.

Output
E_tot, eV/atom: -7.0715
Calculated volume, Å³/cell: 214.7

Cell lengths 5.1359, 5.4461, 7.7039 Å; angles 94.71, 90.76, 90.11 degrees
Space group P1 (No. 1)
Symmetry-distinct sites (fractional):
Li  0.0000  0.0000  0.0000
Li  0.0023  0.0147  0.4646
Li  0.5031  0.4727  0.0017
Li  0.5082  0.4712  0.4713
Mn  0.5040  0.0605  0.1982
Nb  0.0029  0.5511  0.7174
W  0.0129  0.5667  0.2119
W  0.4997  0.0495  0.6957
O  0.1269  0.5853  0.4443
O  0.1856  0.8932  0.7557
O  0.2021  0.2738  0.1333
O  0.3031  0.7623  0.1327
O  0.3259  0.3923  0.7573
O  0.3778  0.1000  0.4657
O  0.6344  0.0888  0.9237
O  0.6884  0.7623  0.6245
O  0.7018  0.3801  0.2456
O  0.8111  0.2638  0.6253
O  0.8210  0.8759  0.2442
O  0.8811  0.5756  0.9484

***

- Among the records above, which one has the lowest E_tot?
  Li4Mn3Nb2V3O16

***

- Which of these has the highest calculated volume?
  Li4Mn3Nb2V3O16